[1]
{"formula": "AgAs4Os", "functional": "PBE-GGA", "state": "optimized geometry", "vol_a3_per_atom": 18.7, "density_g_cm3": 8.84, "dft_energy_ev_per_atom": -4.4391, "cell": [[0.000, 3.829, 3.829], [3.829, 0.000, 3.829], [3.829, 3.829, 0.000]], "species": ["Ag", "As", "As", "As", "As", "Os"], "frac_coords": [[0.000, 0.000, 0.000], [0.874, 0.375, 0.375], [0.375, 0.375, 0.874], [0.375, 0.874, 0.375], [0.375, 0.375, 0.375], [0.750, 0.750, 0.750]]}

=====

[2]
{"formula": "AgAs3Os", "functional": "PBE-GGA", "state": "optimized geometry", "vol_a3_per_atom": 22.6, "density_g_cm3": 7.68, "polymorph_energy_ev_per_atom": 0.0000, "dft_energy_ev_per_atom": -4.8463, "cell": [[4.836, 0.000, 0.000], [0.000, 4.836, 0.000], [0.000, 0.000, 4.836]], "species": ["As", "As", "As", "Os", "Ag"], "frac_coords": [[0.000, 0.500, 0.000], [0.000, 0.000, 0.500], [0.500, 0.000, 0.000], [0.000, 0.000, 0.000], [0.500, 0.500, 0.500]]}

=====

[3]
{"formula": "Ag2AsOs", "functional": "PBE-GGA", "state": "optimized geometry", "vol_a3_per_atom": 17.5, "density_g_cm3": 11.41, "dft_energy_ev_per_atom": -4.8159, "cell": [[-4.189, 0.427, 2.810], [-0.446, -2.807, -0.239], [2.222, -3.224, 3.801]], "species": ["As", "Os", "Ag", "Ag"], "frac_coords": [[0.500, 0.250, 0.250], [0.500, 0.750, 0.750], [0.000, 0.240, 0.997], [0.000, 0.260, 0.503]]}

=====

[4]
{"formula": "Ag2AsOs", "functional": "PBE-GGA", "state": "optimized geometry", "vol_a3_per_atom": 17.6, "density_g_cm3": 11.32, "dft_energy_ev_per_atom": -4.8812, "cell": [[-1.415, 5.316, 1.326], [-2.908, 1.106, 4.727], [4.663, -2.080, -2.440]], "species": ["As", "Os", "Ag", "Ag"], "frac_coords": [[0.535, 0.535, 0.000], [0.724, 0.224, 0.500], [0.979, 0.979, 0.000], [0.262, 0.762, 0.500]]}

=====

[5]
{"formula": "Ag2AsOs", "functional": "PBE-GGA", "state": "optimized geometry", "vol_a3_per_atom": 16.8, "density_g_cm3": 11.87, "dft_energy_ev_per_atom": -4.7927, "cell": [[5.318, -0.011, -0.032], [-2.627, 4.624, -0.032], [0.016, 0.027, 2.738]], "species": ["As", "Os", "Ag", "Ag"], "frac_coords": [[0.500, 0.000, 0.500], [0.000, 0.500, 0.500], [0.000, 0.000, 0.000], [0.500, 0.500, 0.000]]}

=====

[6]
{"formula": "Ag2AsOs", "functional": "PBE-GGA", "state": "optimized geometry", "vol_a3_per_atom": 16.9, "density_g_cm3": 11.81, "dft_energy_ev_per_atom": -4.7130, "cell": [[5.454, -0.009, 0.000], [2.856, 4.646, 0.000], [-4.155, -2.318, 2.665]], "species": ["As", "Os", "Ag", "Ag"], "frac_coords": [[0.250, 0.750, 0.500], [0.750, 0.250, 0.500], [0.000, 0.000, 0.000], [0.500, 0.500, 0.000]]}